## A
Here is a relaxed structure of Pr2TeN from the Alexandria database. Energies are from PBE.

```
4
Lattice="3.918 0.000 0.000 1.959 3.393 0.000 1.959 1.131 7.330" Properties=species:S:1:pos:R:3 pbc="T T T"
Pr 1.959 1.131 5.975
Pr 1.959 1.131 1.390
Te 3.918 2.262 3.673
N 5.877 3.393 7.286
```

Theoretical density, kg/m³: 7215


## B
Here is a relaxed structure of Pr2TeN from the Alexandria database. Energies are from PBE.

```
4
Lattice="3.703 0.000 0.000 1.852 3.207 0.000 1.852 1.069 9.033" Properties=species:S:1:pos:R:3 pbc="T T T"
Pr 1.852 1.069 5.906
Pr 5.555 3.207 3.127
Te 0.000 0.000 0.000
N 3.703 2.138 4.516
```

Theoretical density, kg/m³: 6555


## C
Here is a relaxed structure of Pr2TeN from the Alexandria database. Energies are from PBE.

```
8
Lattice="-0.451 3.824 0.799 -3.153 -2.328 -0.318 0.702 -2.900 14.276" Properties=species:S:1:pos:R:3 pbc="T T T"
Pr -1.968 -1.455 5.854
Pr -0.716 -0.855 13.364
Pr -0.935 0.051 8.903
Pr -2.187 -0.549 1.393
Te -1.176 1.048 3.996
Te -1.726 -2.452 10.761
N 0.351 -1.450 7.138
N 0.000 0.000 0.000
```

Theoretical density, kg/m³: 7201


## D
Here is a relaxed structure of Pr2TeN from the Alexandria database. Energies are from PBE.

```
16
Lattice="-4.715 1.530 4.630 -0.738 -8.955 2.207 5.485 0.855 5.303" Properties=species:S:1:pos:R:3 pbc="T T T"
Pr 0.575 1.062 8.298
Pr -1.123 -7.445 4.411
Pr 1.844 -4.292 6.391
Pr -2.392 -2.090 6.318
Pr 2.922 0.301 5.993
Pr -3.490 -6.676 6.736
Pr -0.523 -3.524 8.716
Pr -0.045 -2.852 4.013
Te -0.413 -5.399 1.985
Te 2.212 -1.745 8.419
Te -0.338 0.165 5.191
Te 2.137 -7.309 5.213
N -0.163 -0.148 0.504
N 1.963 -6.996 9.900
N -0.455 -3.481 6.277
N 2.254 -3.663 4.127
```

Theoretical density, kg/m³: 5838


C is preferred energetically. Next in line: 0.024 eV/atom higher.


## A
Here is a relaxed structure of Pr4Te3N2 from the Alexandria database. Energies are from PBE.

```
9
Lattice="4.257 0.000 0.000 -2.128 7.142 -0.872 0.000 -4.176 8.962" Properties=species:S:1:pos:R:3 pbc="T T T"
Pr 2.128 2.159 0.906
Pr 0.000 0.807 7.184
Pr 2.128 2.872 4.613
Pr 0.000 0.094 3.477
Te 2.128 -1.386 6.291
Te 0.000 0.000 0.000
Te 0.000 4.353 1.799
N 2.128 1.220 2.934
N 0.000 1.746 5.156
```

Theoretical density, kg/m³: 6297


## B
Here is a relaxed structure of Pr4Te3N2 from the Alexandria database. Energies are from PBE.

```
36
Lattice="-6.272 3.309 2.379 -2.852 -9.551 5.767 5.760 4.049 9.556" Properties=species:S:1:pos:R:3 pbc="T T T"
Pr -4.498 -1.177 9.857
Pr 1.134 -1.016 7.845
Pr 1.855 -2.950 11.190
Pr 2.782 3.504 7.897
Pr -1.761 -3.172 6.092
Pr -1.564 0.838 4.274
Pr 3.447 0.610 11.682
Pr -6.145 -5.697 9.804
Pr -1.602 0.978 11.610
Pr -1.799 -3.031 13.427
Pr -2.160 -5.504 10.281
Pr 1.110 4.937 11.258
Pr -4.473 -7.130 6.443
Pr -5.218 0.757 6.511
Pr -6.811 -2.803 6.019
Pr -1.204 3.311 7.421
Te -2.092 3.919 10.659
Te -1.271 -6.113 7.043
Te -2.150 0.085 7.463
Te -0.327 -0.763 1.689
Te 0.908 1.810 9.744
Te -4.271 -4.003 7.957
Te -4.117 -1.297 4.200
Te -1.214 -2.279 10.238
Te -3.036 -1.431 16.012
Te -5.003 -2.813 12.749
Te 1.640 0.620 4.952
Te 0.753 -0.896 13.501
N 0.524 -2.761 6.429
N -2.849 2.004 2.666
N -1.990 -5.235 12.587
N -3.887 0.568 11.272
N -2.411 1.605 13.720
N -0.514 -4.197 15.035
N -1.374 3.041 5.114
N -0.952 -3.798 3.981
```

Theoretical density, kg/m³: 6331


B is preferred energetically. Next in line: 0.032 eV/atom higher.


## A
Here is a relaxed structure of Pr3Te3N from the Alexandria database. Energies are from PBE.

```
14
Lattice="-6.891 3.094 2.175 4.286 -2.381 6.144 3.779 6.766 -1.309" Properties=species:S:1:pos:R:3 pbc="T T T"
Pr -1.721 1.757 7.271
Pr -0.716 6.150 4.342
Pr 2.486 4.582 5.479
Pr 1.891 1.329 2.668
Pr -1.311 2.898 1.531
Pr 2.896 5.723 -0.262
Te -0.268 2.822 4.648
Te 4.350 1.897 4.841
Te -3.175 5.583 2.169
Te 1.401 -0.967 5.119
Te -4.005 1.680 3.199
Te 1.443 4.657 2.361
N 1.062 6.374 5.802
N 0.113 1.106 1.208
```

Theoretical density, kg/m³: 6231


## B
Here is a relaxed structure of Pr3Te3N from the Alexandria database. Energies are from PBE.

```
28
Lattice="7.835 0.038 0.000 -1.562 8.164 0.000 0.000 0.000 13.354" Properties=species:S:1:pos:R:3 pbc="T T T"
Pr -1.349 7.176 1.449
Pr 2.922 5.089 8.126
Pr 7.621 1.026 11.905
Pr 3.350 3.113 5.228
Pr 2.687 2.174 0.594
Pr 0.449 1.927 7.271
Pr 3.586 6.028 12.760
Pr 5.823 6.275 6.083
Pr 3.975 1.554 8.839
Pr 6.997 2.585 2.163
Pr 2.298 6.648 4.514
Pr -0.724 5.617 11.191
Te 5.411 3.199 12.385
Te 5.560 0.940 5.708
Te 0.861 5.002 0.969
Te 0.713 7.262 7.646
Te 6.073 4.007 8.512
Te 4.898 0.132 1.835
Te 0.199 4.195 4.842
Te 1.375 8.070 11.519
Te 1.872 3.508 10.894
Te 1.264 0.593 4.217
Te 4.401 4.694 2.460
Te 5.008 7.609 9.137
N 2.576 2.830 7.413
N 0.560 1.271 0.736
N 3.697 5.372 5.941
N 5.712 6.930 12.618
```

Theoretical density, kg/m³: 6367


A is preferred energetically. Next in line: 0.016 eV/atom higher.